No. 1
# Sc2PdS, optimized geometry, DFT PBE
# E_form (uncorrected) = -1.16 eV per atom
data_Sc2PdS
_chemical_formula_sum 'Sc6 Pd3 S3'
_symmetry_space_group_name_H-M 'R 3 m'
_symmetry_Int_Tables_number 160
_symmetry_space_group_name_Hall 'R 3 -2"'
_cell_length_a 3.5549
_cell_length_b 3.5549
_cell_length_c 21.0311
_cell_angle_alpha 90.00
_cell_angle_beta 90.00
_cell_angle_gamma 120.00
loop_
_atom_site_label
_atom_site_fract_x
_atom_site_fract_y
_atom_site_fract_z
Sc1 0.0000 0.0000 0.0000
Sc2 0.0000 0.0000 0.1634
Pd1 0.0000 0.0000 0.5824
S1 0.0000 0.0000 0.4141

No. 2
# KTlAu2, optimized geometry, DFT PBE
# Calculated formation energy = -0.056 eV/atom
data_KTlAu2
_chemical_formula_sum 'K3 Tl3 Au6'
_symmetry_space_group_name_H-M 'R 3 m'
_symmetry_Int_Tables_number 160
_symmetry_space_group_name_Hall 'R 3 -2"'
_cell_length_a 4.4280
_cell_length_b 4.4280
_cell_length_c 22.8082
_cell_angle_alpha 90.00
_cell_angle_beta 90.00
_cell_angle_gamma 120.00
loop_
_atom_site_label
_atom_site_fract_x
_atom_site_fract_y
_atom_site_fract_z
K1 0.0000 0.0000 0.0000
Tl1 0.0000 0.0000 0.1694
Au1 0.0000 0.0000 0.5705
Au2 0.0000 0.0000 0.7664

No. 3
# KNa2SrZn, optimized geometry, DFT PBE
# Calculated formation energy = 0.087 eV/atom
data_KNa2SrZn
_chemical_formula_sum 'K1 Na2 Sr1 Zn1'
_symmetry_space_group_name_H-M 'P 4/m m m'
_symmetry_Int_Tables_number 123
_symmetry_space_group_name_Hall '-P 4 2'
_cell_length_a 6.0326
_cell_length_b 6.0326
_cell_length_c 6.1636
_cell_angle_alpha 90.00
_cell_angle_beta 90.00
_cell_angle_gamma 90.00
loop_
_atom_site_label
_atom_site_fract_x
_atom_site_fract_y
_atom_site_fract_z
K1 0.0000 0.0000 0.0000
Na1 0.0000 0.5000 0.5000
Sr1 0.5000 0.5000 0.0000
Zn1 0.5000 0.5000 0.5000

No. 4
# RbPdSe3, optimized geometry, DFT PBE
# E_form (uncorrected) = 1.43 eV per atom
data_RbPdSe3
_chemical_formula_sum 'Rb1 Pd1 Se3'
_symmetry_space_group_name_H-M 'P m -3 m'
_symmetry_Int_Tables_number 221
_symmetry_space_group_name_Hall '-P 4 2 3'
_cell_length_a 5.8232
_cell_length_b 5.8232
_cell_length_c 5.8232
_cell_angle_alpha 90.00
_cell_angle_beta 90.00
_cell_angle_gamma 90.00
loop_
_atom_site_label
_atom_site_fract_x
_atom_site_fract_y
_atom_site_fract_z
Rb1 0.0000 0.0000 0.0000
Pd1 0.5000 0.5000 0.5000
Se1 0.0000 0.0000 0.5000

No. 5
# Sm2Y6Tl, optimized geometry, DFT PBE
# Calculated formation energy = -0.001 eV/atom
data_Sm2Y6Tl
_chemical_formula_sum 'Sm4 Y12 Tl2'
_symmetry_space_group_name_H-M 'I m m m'
_symmetry_Int_Tables_number 71
_symmetry_space_group_name_Hall '-I 2 2'
_cell_length_a 3.5252
_cell_length_b 10.2053
_cell_length_c 16.0569
_cell_angle_alpha 90.00
_cell_angle_beta 90.00
_cell_angle_gamma 90.00
loop_
_atom_site_label
_atom_site_fract_x
_atom_site_fract_y
_atom_site_fract_z
Sm1 0.0000 0.0000 0.1536
Y1 0.0000 0.3029 0.5000
Y2 0.0000 0.3375 0.1765
Tl1 0.0000 0.5000 0.0000

No. 6
# LaHoAu2O8, optimized geometry, DFT PBE
# E_form (uncorrected) = -1.19 eV per atom
data_LaHoAu2O8
_chemical_formula_sum 'La2 Ho2 Au4 O16'
_symmetry_space_group_name_H-M 'I -4'
_symmetry_Int_Tables_number 82
_cell_length_a 5.6250
_cell_length_b 5.6250
_cell_length_c 10.4156
_cell_angle_alpha 90.00
_cell_angle_beta 90.00
_cell_angle_gamma 90.00
loop_
_symmetry_equiv_pos_as_xyz
'x,y,z'
'y,-x,-z'
'-x,-y,z'
'-y,x,-z'
'x+1/2,y+1/2,z+1/2'
'y+1/2,-x+1/2,-z+1/2'
'-x+1/2,-y+1/2,z+1/2'
'-y+1/2,x+1/2,-z+1/2'
loop_
_atom_site_label
_atom_site_fract_x
_atom_site_fract_y
_atom_site_fract_z
La1 0.0000 0.0000 0.0000
Ho1 0.0000 0.5000 0.2500
Au1 0.0000 0.0000 0.5000
Au2 0.0000 0.5000 0.7500
O1 0.1027 0.3323 0.4571
O2 0.1343 0.8222 0.7863

No. 7
# In3Ni, optimized geometry, DFT PBE
# Calculated formation energy = 0.119 eV/atom
data_In3Ni
_chemical_formula_sum 'In6 Ni2'
_symmetry_space_group_name_H-M 'P 63/m m c'
_symmetry_Int_Tables_number 194
_symmetry_space_group_name_Hall '-P 6c 2c'
_cell_length_a 8.6668
_cell_length_b 8.6668
_cell_length_c 3.0068
_cell_angle_alpha 90.00
_cell_angle_beta 90.00
_cell_angle_gamma 120.00
loop_
_atom_site_label
_atom_site_fract_x
_atom_site_fract_y
_atom_site_fract_z
In1 0.1889 0.3779 0.2500
Ni1 0.3333 0.6667 0.7500

No. 8
# AcTb4NdSm2, optimized geometry, DFT PBE
# Calculated formation energy = 0.419 eV/atom
data_AcTb4NdSm2
_chemical_formula_sum 'Ac4 Tb16 Nd4 Sm8'
_symmetry_space_group_name_H-M 'C 1 2/c 1'
_symmetry_Int_Tables_number 15
_cell_length_a 13.8674
_cell_length_b 13.5054
_cell_length_c 6.9680
_cell_angle_alpha 90.00
_cell_angle_beta 120.16
_cell_angle_gamma 90.00
loop_
_symmetry_equiv_pos_as_xyz
'x,y,z'
'-x,-y,-z'
'-x,y,-z+1/2'
'x,-y,z+1/2'
'x+1/2,y+1/2,z'
'-x+1/2,-y+1/2,-z'
'-x+1/2,y+1/2,-z+1/2'
'x+1/2,-y+1/2,z+1/2'
loop_
_atom_site_label
_atom_site_fract_x
_atom_site_fract_y
_atom_site_fract_z
Ac1 0.2500 0.2500 0.0000
Tb1 0.0002 0.2483 0.0139
Tb2 0.2481 0.0082 0.4995
Nd1 0.0000 0.5000 0.0000
Sm1 0.0000 0.0000 0.0000
Sm2 0.2500 0.2500 0.5000

No. 9
# Ac2YGa4Pt3, optimized geometry, DFT PBE
# Calculated formation energy = -0.873 eV/atom
data_Ac2YGa4Pt3
_chemical_formula_sum 'Ac2 Y1 Ga4 Pt3'
_symmetry_space_group_name_H-M 'P -4 m 2'
_symmetry_Int_Tables_number 115
_cell_length_a 4.3740
_cell_length_b 4.3740
_cell_length_c 11.7395
_cell_angle_alpha 90.00
_cell_angle_beta 90.00
_cell_angle_gamma 90.00
loop_
_symmetry_equiv_pos_as_xyz
'x,y,z'
'y,-x,-z'
'-x,-y,z'
'-y,x,-z'
'-x,y,z'
'-y,-x,-z'
'x,-y,z'
'y,x,-z'
loop_
_atom_site_label
_atom_site_fract_x
_atom_site_fract_y
_atom_site_fract_z
Ac1 0.0000 0.5000 0.2278
Y1 0.0000 0.0000 0.5000
Ga1 0.0000 0.0000 0.0000
Ga2 0.0000 0.5000 0.6617
Ga3 0.5000 0.5000 0.0000
Pt1 0.0000 0.5000 0.8789
Pt2 0.5000 0.5000 0.5000

No. 10
# Tl2RuBr2F4, optimized geometry, DFT PBE
# E_form (uncorrected) = -1.39 eV per atom
data_Tl2RuBr2F4
_chemical_formula_sum 'Tl4 Ru2 Br4 F8'
_symmetry_space_group_name_H-M 'I 4/m m m'
_symmetry_Int_Tables_number 139
_symmetry_space_group_name_Hall '-I 4 2'
_cell_length_a 6.8379
_cell_length_b 6.8379
_cell_length_c 8.9078
_cell_angle_alpha 90.00
_cell_angle_beta 90.00
_cell_angle_gamma 90.00
loop_
_atom_site_label
_atom_site_fract_x
_atom_site_fract_y
_atom_site_fract_z
Tl1 0.0000 0.5000 0.2500
Ru1 0.0000 0.0000 0.0000
Br1 0.0000 0.0000 0.2802
F1 0.2022 0.2022 0.0000

No. 11
# Li5Cd8Sn, optimized geometry, DFT PBE
# Calculated formation energy = -0.110 eV/atom
data_Li5Cd8Sn
_chemical_formula_sum 'Li10 Cd16 Sn2'
_symmetry_space_group_name_H-M 'I -4'
_symmetry_Int_Tables_number 82
_cell_length_a 8.1487
_cell_length_b 8.1487
_cell_length_c 9.0066
_cell_angle_alpha 90.00
_cell_angle_beta 90.00
_cell_angle_gamma 90.00
loop_
_symmetry_equiv_pos_as_xyz
'x,y,z'
'y,-x,-z'
'-x,-y,z'
'-y,x,-z'
'x+1/2,y+1/2,z+1/2'
'y+1/2,-x+1/2,-z+1/2'
'-x+1/2,-y+1/2,z+1/2'
'-y+1/2,x+1/2,-z+1/2'
loop_
_atom_site_label
_atom_site_fract_x
_atom_site_fract_y
_atom_site_fract_z
Li1 0.0000 0.0000 0.0000
Li2 0.1237 0.7937 0.5788
Cd1 0.0715 0.6702 0.9191
Cd2 0.1088 0.8459 0.2550
Sn1 0.0000 0.5000 0.2500

No. 12
# LiLaSn2H, optimized geometry, DFT PBE
# Total energy = -0.2933 Ry per atom
data_LiLaSn2H
_chemical_formula_sum 'Li1 La1 Sn2 H1'
_symmetry_space_group_name_H-M 'P 4/m m m'
_symmetry_Int_Tables_number 123
_symmetry_space_group_name_Hall '-P 4 2'
_cell_length_a 4.8617
_cell_length_b 4.8617
_cell_length_c 4.6177
_cell_angle_alpha 90.00
_cell_angle_beta 90.00
_cell_angle_gamma 90.00
loop_
_atom_site_label
_atom_site_fract_x
_atom_site_fract_y
_atom_site_fract_z
Li1 0.0000 0.0000 0.0000
La1 0.5000 0.5000 0.0000
Sn1 0.0000 0.5000 0.5000
H1 0.5000 0.5000 0.5000

No. 13
# Y2CuSe, optimized geometry, DFT PBE
# E_form (uncorrected) = -0.63 eV per atom
data_Y2CuSe
_chemical_formula_sum 'Y8 Cu4 Se4'
_symmetry_space_group_name_H-M 'F m -3 m'
_symmetry_Int_Tables_number 225
_symmetry_space_group_name_Hall '-F 4 2 3'
_cell_length_a 7.0803
_cell_length_b 7.0803
_cell_length_c 7.0803
_cell_angle_alpha 90.00
_cell_angle_beta 90.00
_cell_angle_gamma 90.00
loop_
_atom_site_label
_atom_site_fract_x
_atom_site_fract_y
_atom_site_fract_z
Y1 0.2500 0.2500 0.2500
Cu1 0.0000 0.0000 0.0000
Se1 0.0000 0.0000 0.5000

No. 14
# Pr2YZn9, optimized geometry, DFT PBE
# Calculated formation energy = -0.288 eV/atom
data_Pr2YZn9
_chemical_formula_sum 'Pr6 Y3 Zn27'
_symmetry_space_group_name_H-M 'R -3 m'
_symmetry_Int_Tables_number 166
_symmetry_space_group_name_Hall '-R 3 2"'
_cell_length_a 5.5077
_cell_length_b 5.5077
_cell_length_c 26.3427
_cell_angle_alpha 90.00
_cell_angle_beta 90.00
_cell_angle_gamma 120.00
loop_
_atom_site_label
_atom_site_fract_x
_atom_site_fract_y
_atom_site_fract_z
Pr1 0.0000 0.0000 0.1404
Y1 0.0000 0.0000 0.0000
Zn1 0.0000 0.0000 0.3347
Zn2 0.0000 0.0000 0.5000
Zn3 0.0034 0.5017 0.9202

No. 15
# Dy7Zn2In2, optimized geometry, DFT PBE
# Calculated formation energy = -0.051 eV/atom
data_Dy7Zn2In2
_chemical_formula_sum 'Dy14 Zn4 In4'
_symmetry_space_group_name_H-M 'C m m m'
_symmetry_Int_Tables_number 65
_symmetry_space_group_name_Hall '-C 2 2'
_cell_length_a 7.7616
_cell_length_b 11.0990
_cell_length_c 7.4661
_cell_angle_alpha 90.00
_cell_angle_beta 90.00
_cell_angle_gamma 90.00
loop_
_atom_site_label
_atom_site_fract_x
_atom_site_fract_y
_atom_site_fract_z
Dy1 0.0000 0.0000 0.0000
Dy2 0.0000 0.5000 0.2399
Dy3 0.2500 0.2500 0.2746
Zn1 0.0000 0.2875 0.0000
In1 0.1807 0.0000 0.5000

No. 16
# SrMnPt2, optimized geometry, DFT PBE
# Calculated formation energy = -0.521 eV/atom
data_SrMnPt2
_chemical_formula_sum 'Sr2 Mn2 Pt4'
_symmetry_space_group_name_H-M 'C 1 2/m 1'
_symmetry_Int_Tables_number 12
_cell_length_a 7.7302
_cell_length_b 4.4602
_cell_length_c 5.8453
_cell_angle_alpha 90.00
_cell_angle_beta 115.95
_cell_angle_gamma 90.00
loop_
_symmetry_equiv_pos_as_xyz
'x,y,z'
'-x,-y,-z'
'-x,y,-z'
'x,-y,z'
'x+1/2,y+1/2,z'
'-x+1/2,-y+1/2,-z'
'-x+1/2,y+1/2,-z'
'x+1/2,-y+1/2,z'
loop_
_atom_site_label
_atom_site_fract_x
_atom_site_fract_y
_atom_site_fract_z
Sr1 0.0000 0.0000 0.0000
Mn1 0.0000 0.5000 0.5000
Pt1 0.1987 0.0000 0.5964

No. 17
# YSnSN2, optimized geometry, DFT PBE
# E_form (uncorrected) = 0.47 eV per atom
data_YSnSN2
_chemical_formula_sum 'Y1 Sn1 S1 N2'
_symmetry_space_group_name_H-M 'P 4/m m m'
_symmetry_Int_Tables_number 123
_symmetry_space_group_name_Hall '-P 4 2'
_cell_length_a 4.4736
_cell_length_b 4.4736
_cell_length_c 5.4027
_cell_angle_alpha 90.00
_cell_angle_beta 90.00
_cell_angle_gamma 90.00
loop_
_atom_site_label
_atom_site_fract_x
_atom_site_fract_y
_atom_site_fract_z
Y1 0.0000 0.0000 0.0000
Sn1 0.5000 0.5000 0.5000
S1 0.0000 0.0000 0.5000
N1 0.0000 0.5000 0.0000